First-principles (PBE) data for a relaxed structure of CdP2Au, as listed in Alexandria.

Lattice parameters (Å, degrees): 2.9923 2.9923 10.2500 90.00 90.00 124.06
Last column: nearest neighbours and their distance in Å.
Fractional positions:
Cd1 0.0000 0.0000 0.0000  6 Cd 2.81-2.99
P1 0.5000 0.5000 0.2821  2 Au 2.64, 2 P 2.81
P2 0.5000 0.5000 0.7179  2 Au 2.64, 2 P 2.81
Au1 0.0000 0.0000 0.5000  4 P 2.64, 2 Au 2.81

## Properties
DFT total energy: -0.121 Ha/atom
Spin magnetization: 0.0 μB/cell
Energy relative to the elements: 463 meV per atom



First-principles (PBE) data for a relaxed structure of Ca2NiHPd, as listed in Alexandria.

Lattice parameters (Å, degrees): 5.0083 5.0083 3.5580 90.00 90.00 90.00
Last column: nearest neighbours and their distance in Å.
Fractional positions:
Ca1 0.0000 0.5000 0.0000  2 H 2.50
Ca2 0.5000 0.0000 0.0000  2 H 2.50
Ni1 0.0000 0.0000 0.5000  8 Ca 3.07
H1 0.5000 0.5000 0.0000  2 Pd 1.78
Pd1 0.5000 0.5000 0.5000  2 H 1.78

## Properties
DFT total energy: -0.147 Ha/atom
Spin magnetization: 0.0 μB/cell
ΔE to the lowest computed polymorph: 8.2 kJ per mole of atoms



First-principles (PBE) data for a relaxed structure of PaZn2AgO6, as listed in Alexandria.

Lattice parameters (Å, degrees): 7.0470 7.0470 5.6248 102.06 102.06 75.99
Last column: nearest neighbours and their distance in Å.
Fractional positions:
Pa1 0.1663 0.8337 0.7500  8 O 2.25-2.45
Pa2 0.8337 0.1663 0.2500  8 O 2.25-2.45
Zn1 0.1076 0.3274 0.7845  4 O 1.91-2.05
Zn2 0.3274 0.1076 0.2845  4 O 1.91-2.05
Zn3 0.6726 0.8924 0.7155  4 O 1.91-2.05
Zn4 0.8924 0.6726 0.2155  4 O 1.91-2.05
Ag1 0.3557 0.6443 0.2500  4 O 2.03-2.08
Ag2 0.6443 0.3557 0.7500  4 O 2.03-2.08
O1 0.0899 0.1462 0.0058  2 Zn 2.00-2.05
O2 0.1462 0.0899 0.5058  2 Zn 2.00-2.05
O3 0.1543 0.5784 0.4260  1 Zn 2.02, 1 Ag 2.08
O4 0.2374 0.5469 0.8981  1 Zn 1.91, 1 Ag 2.03
O5 0.4216 0.8457 0.0740  1 Zn 2.02, 1 Ag 2.08
O6 0.4531 0.7626 0.6019  1 Zn 1.91, 1 Ag 2.03
O7 0.5469 0.2374 0.3981  1 Zn 1.91, 1 Ag 2.03
O8 0.5784 0.1543 0.9260  1 Zn 2.02, 1 Ag 2.08
O9 0.7626 0.4531 0.1019  1 Zn 1.91, 1 Ag 2.03
O10 0.8457 0.4216 0.5740  1 Zn 2.02, 1 Ag 2.08
O11 0.8538 0.9101 0.4942  2 Zn 2.00-2.05
O12 0.9101 0.8538 0.9942  2 Zn 2.00-2.05

## Properties
Formation energy from raw total energies: -1689 meV/atom
DFT total energy: -0.226 Ha/atom
Spin magnetization: 0.0 μB/cell